The following is a PBE calculation of crystalline PmMoAu at its relaxed geometry, from the Open Quantum Materials Database.

Cell lengths 4.782, 4.782, 4.782 Å; angles 60.00, 60.00, 60.00 degrees
Element x y z (fractional)
Pm  0.000  0.000  0.000
Mo  0.250  0.250  0.250
Au  0.750  0.750  0.750

Properties
DFT formation energy = 0.951 eV/atom
VASP energy = -5.336 eV per atom
Magnetic moment = 3.03 μB per formula unit

=====

The following is a PBE calculation of crystalline PmMoAu at its relaxed geometry, from the Open Quantum Materials Database.

Cell lengths 4.716, 4.716, 4.716 Å; angles 60.00, 60.00, 60.00 degrees
Element x y z (fractional)
Pm  0.000  0.000  0.000
Mo  0.750  0.750  0.750
Au  0.500  0.500  0.500

Properties
DFT formation energy = 0.659 eV/atom
VASP energy = -5.628 eV per atom
Magnetic moment = 2.81 μB per formula unit

=====

The following is a PBE calculation of crystalline PuMoAu at its relaxed geometry, from the Open Quantum Materials Database.

Cell lengths 4.542, 4.542, 4.542 Å; angles 60.00, 60.00, 60.00 degrees
Element x y z (fractional)
Pu  0.000  0.000  0.000
Mo  0.750  0.750  0.750
Au  0.500  0.500  0.500

Properties
DFT formation energy = 1.056 eV/atom
VASP energy = -8.357 eV per atom
Magnetic moment = 0.10 μB per formula unit

=====

The following is a PBE calculation of crystalline PuMoAu at its relaxed geometry, from the Open Quantum Materials Database.

Cell lengths 4.568, 4.568, 4.568 Å; angles 60.00, 60.00, 60.00 degrees
Element x y z (fractional)
Pu  0.000  0.000  0.000
Mo  0.250  0.250  0.250
Au  0.750  0.750  0.750

Properties
DFT formation energy = 0.713 eV/atom
VASP energy = -8.700 eV per atom
Magnetic moment = 3.05 μB per formula unit

=====

Which value of DFT formation energy does entry 4 give?
0.713 eV/atom

=====

Which formula does entry 1 have?
PmMoAu